No. 1
{
  "formula": "BaCaSiO4",
  "functional": "PBE",
  "state": "optimized geometry",
  "lattice": [[-5.241, 0.306, -5.062], [6.729, -5.549, -7.303], [-6.965, -5.816, 6.860]],
  "species": ["O", "O", "O", "O", "O", "O", "O", "O", "O", "O", "O", "O", "O", "O", "O", "O", "O", "O", "O", "O", "O", "O", "O", "O", "O", "O", "O", "O", "O", "O", "O", "O", "Ba", "Ba", "Ba", "Ba", "Ba", "Ba", "Ba", "Ba", "Si", "Si", "Si", "Si", "Si", "Si", "Si", "Si", "Ca", "Ca", "Ca", "Ca", "Ca", "Ca", "Ca", "Ca"],
  "fractional_positions": [[0.401, 0.324, 0.915], [0.401, 0.085, 0.409], [0.213, 0.812, 0.623], [0.713, 0.188, 0.377], [0.901, 0.676, 0.085], [0.401, 0.324, 0.409], [0.205, 0.667, 0.333], [0.465, 0.087, 0.913], [0.965, 0.913, 0.087], [0.010, 0.412, 0.824], [0.213, 0.377, 0.188], [0.901, 0.676, 0.591], [0.901, 0.915, 0.324], [0.465, 0.087, 0.175], [0.401, 0.591, 0.676], [0.901, 0.915, 0.591], [0.465, 0.825, 0.913], [0.713, 0.623, 0.812], [0.965, 0.913, 0.825], [0.010, 0.412, 0.588], [0.510, 0.588, 0.176], [0.510, 0.588, 0.412], [0.010, 0.176, 0.588], [0.965, 0.175, 0.087], [0.401, 0.085, 0.676], [0.213, 0.812, 0.188], [0.901, 0.409, 0.085], [0.705, 0.333, 0.667], [0.510, 0.824, 0.412], [0.401, 0.591, 0.915], [0.713, 0.188, 0.812], [0.901, 0.409, 0.324], [0.546, 0.833, 0.666], [0.854, 0.667, 0.333], [0.046, 0.167, 0.334], [0.046, 0.666, 0.833], [0.046, 0.167, 0.833], [0.546, 0.334, 0.167], [0.354, 0.333, 0.667], [0.546, 0.833, 0.167], [0.496, 0.172, 0.828], [0.496, 0.172, 0.343], [0.927, 0.333, 0.667], [0.996, 0.828, 0.657], [0.496, 0.657, 0.828], [0.996, 0.343, 0.172], [0.996, 0.828, 0.172], [0.427, 0.667, 0.333], [0.252, 0.000, 0.000], [0.720, 0.059, 0.530], [0.220, 0.530, 0.059], [0.752, 0.000, 0.000], [0.720, 0.470, 0.941], [0.220, 0.941, 0.470], [0.220, 0.530, 0.470], [0.720, 0.470, 0.530]],
  "dos_at_fermi_per_ev_cell": 0.0,
  "formation_energy_uncorrected_ev_per_atom": -2.95,
  "energy_ev_per_atom": -7.12,
  "relative_energy_kj_per_mol_atoms": 2.9
}

---

No. 2
{
  "formula": "HgSeBr2Cl",
  "functional": "PBE",
  "state": "optimized geometry",
  "lattice": [[5.446, 0.000, 0.000], [0.000, 5.446, 0.000], [0.000, 0.000, 5.607]],
  "species": ["Hg", "Br", "Br", "Cl", "Se"],
  "fractional_positions": [[0.000, 0.000, 0.000], [0.000, 0.500, 0.000], [0.500, 0.000, 0.000], [0.500, 0.500, 0.500], [0.000, 0.000, 0.500]],
  "dos_at_fermi_per_ev_cell": 7.4,
  "formation_energy_uncorrected_ev_per_atom": 0.40,
  "energy_ev_per_atom": -1.39,
  "relative_energy_kj_per_mol_atoms": 0.0
}

---

No. 3
{
  "formula": "HoLu2Cd",
  "functional": "PBE",
  "state": "optimized geometry",
  "lattice": [[-2.540, -4.574, 1.171], [-1.904, -3.094, -3.943], [2.327, -4.710, -1.074]],
  "species": ["Lu", "Lu", "Ho", "Cd"],
  "fractional_positions": [[0.750, 0.750, 0.750], [0.250, 0.250, 0.250], [0.500, 0.500, 0.500], [0.000, 0.000, 0.000]],
  "formation_enthalpy_0k_ev_per_atom": 0.017,
  "dos_at_fermi_per_ev_cell": 5.5,
  "energy_ev_per_atom": -3.62,
  "relative_energy_kj_per_mol_atoms": 15.5
}

---

No. 4
{
  "formula": "CaTaZnMo2",
  "functional": "PBE",
  "state": "optimized geometry",
  "lattice": [[-4.012, -2.276, -1.104], [2.540, -3.846, -1.298], [-0.270, -1.673, 4.430]],
  "species": ["Zn", "Mo", "Mo", "Ca", "Ta"],
  "fractional_positions": [[0.000, 0.000, 0.000], [0.500, 0.000, 0.000], [0.000, 0.000, 0.500], [0.500, 0.500, 0.500], [0.000, 0.500, 0.000]],
  "formation_enthalpy_0k_ev_per_atom": 1.421,
  "dos_at_fermi_per_ev_cell": 7.1,
  "energy_ev_per_atom": -5.94
}

---

No. 5
{
  "formula": "TlCo2W",
  "functional": "PBE",
  "state": "optimized geometry",
  "lattice": [[-4.377, 0.960, 0.603], [-0.997, -2.115, -3.870], [-0.342, -2.460, 1.432]],
  "species": ["Co", "Co", "W", "Tl"],
  "fractional_positions": [[0.500, 0.500, 0.000], [0.000, 0.000, 0.000], [0.000, 0.500, 0.500], [0.500, 0.000, 0.500]],
  "formation_enthalpy_0k_ev_per_atom": 0.600,
  "dos_at_fermi_per_ev_cell": 4.7,
  "energy_ev_per_atom": -6.78,
  "relative_energy_kj_per_mol_atoms": 23.9
}

---

No. 6
{
  "formula": "CrFeRu",
  "functional": "PBE",
  "state": "optimized geometry",
  "lattice": [[-1.879, -6.814, 0.899], [2.609, -3.744, 5.315], [-3.243, -2.059, 5.859]],
  "species": ["Ru", "Ru", "Ru", "Ru", "Ru", "Ru", "Fe", "Fe", "Fe", "Fe", "Fe", "Fe", "Cr", "Cr", "Cr", "Cr", "Cr", "Cr"],
  "fractional_positions": [[0.888, 0.712, 0.212], [0.614, 0.079, 0.579], [0.812, 0.288, 0.788], [0.733, 0.538, 0.038], [0.308, 0.462, 0.962], [0.273, 0.921, 0.421], [0.972, 0.674, 0.560], [0.972, 0.060, 0.174], [0.206, 0.940, 0.826], [0.547, 0.500, 0.500], [0.206, 0.326, 0.440], [0.547, 0.000, 0.000], [0.941, 0.859, 0.778], [0.321, 0.684, 0.184], [0.578, 0.141, 0.222], [0.188, 0.316, 0.816], [0.941, 0.278, 0.359], [0.578, 0.722, 0.641]],
  "formation_enthalpy_0k_ev_per_atom": 0.211,
  "dos_at_fermi_per_ev_cell": 19.4,
  "energy_ev_per_atom": -8.91,
  "relative_energy_kj_per_mol_atoms": 11.2
}

---

Please write out number 2 again, unchanged.
{
  "formula": "HgSeBr2Cl",
  "functional": "PBE",
  "state": "optimized geometry",
  "lattice": [[5.446, 0.000, 0.000], [0.000, 5.446, 0.000], [0.000, 0.000, 5.607]],
  "species": ["Hg", "Br", "Br", "Cl", "Se"],
  "fractional_positions": [[0.000, 0.000, 0.000], [0.000, 0.500, 0.000], [0.500, 0.000, 0.000], [0.500, 0.500, 0.500], [0.000, 0.000, 0.500]],
  "dos_at_fermi_per_ev_cell": 7.4,
  "formation_energy_uncorrected_ev_per_atom": 0.40,
  "energy_ev_per_atom": -1.39,
  "relative_energy_kj_per_mol_atoms": 0.0
}